# NaUGa2 | Alexandria via LeMat-Bulk | GGA-PBE | relaxed
data_NaUGa2
_chemical_formula_sum 'Na1 U1 Ga2'
_cell_length_a 2.794
_cell_length_b 5.458
_cell_length_c 5.458
_cell_angle_alpha 90.00
_cell_angle_beta 90.00
_cell_angle_gamma 90.00
_space_group_name_H-M_alt 'P 1'
_space_group_IT_number 1
_space_group_name_Hall 'P 1'
loop_
_atom_site_label
_atom_site_type_symbol
_atom_site_fract_x
_atom_site_fract_y
_atom_site_fract_z
_atom_site_occupancy
U1 U 0.500 0.000 0.000 1
Na1 Na 0.500 0.500 0.500 1
Ga1 Ga 0.000 0.500 0.000 1
Ga2 Ga 0.000 0.000 0.500 1
# volume	20.81	Å³/atom
# DOS at the Fermi energy	4.83	states/eV/cell
# E	-4.711	eV/atom
# formation enthalpy at 0 K	-46	meV per atom

# LiZnSb | Alexandria via LeMat-Bulk | GGA-PBE | relaxed
data_LiZnSb
_chemical_formula_sum 'Li1 Zn1 Sb1'
_cell_length_a 4.830
_cell_length_b 4.830
_cell_length_c 4.830
_cell_angle_alpha 132.43
_cell_angle_beta 132.43
_cell_angle_gamma 69.55
_space_group_name_H-M_alt 'P 1'
_space_group_IT_number 1
_space_group_name_Hall 'P 1'
loop_
_atom_site_label
_atom_site_type_symbol
_atom_site_fract_x
_atom_site_fract_y
_atom_site_fract_z
_atom_site_occupancy
Li1 Li 0.007 0.007 0.000 1
Zn1 Zn 0.321 0.321 0.000 1
Sb1 Sb 0.672 0.672 0.000 1
# volume	20.08	Å³/atom
# DOS at the Fermi energy	0.67	states/eV/cell
# E	-2.614	eV/atom
# E_form (uncorrected)	-0.18	eV per atom

# SmB3Ir | Alexandria via LeMat-Bulk | GGA-PBE | relaxed
data_SmB3Ir
_chemical_formula_sum 'Sm2 B6 Ir2'
_cell_length_a 3.539
_cell_length_b 4.910
_cell_length_c 7.294
_cell_angle_alpha 90.00
_cell_angle_beta 104.04
_cell_angle_gamma 90.00
_space_group_name_H-M_alt 'P 1'
_space_group_IT_number 1
_space_group_name_Hall 'P 1'
loop_
_atom_site_label
_atom_site_type_symbol
_atom_site_fract_x
_atom_site_fract_y
_atom_site_fract_z
_atom_site_occupancy
B1 B 0.818 0.250 0.636 1
B2 B 0.281 0.959 0.561 1
B3 B 0.719 0.041 0.439 1
B4 B 0.719 0.459 0.439 1
B5 B 0.281 0.541 0.561 1
B6 B 0.182 0.750 0.364 1
Sm1 Sm 0.092 0.250 0.185 1
Sm2 Sm 0.908 0.750 0.815 1
Ir1 Ir 0.594 0.750 0.188 1
Ir2 Ir 0.406 0.250 0.812 1
# volume	12.30	Å³/atom
# DOS at the Fermi energy	2.93	states/eV/cell
# E	-6.823	eV/atom
# formation enthalpy at 0 K	-101	meV per atom

# AlTl2BiSe4 | Alexandria via LeMat-Bulk | GGA-PBE | relaxed
data_AlTl2BiSe4
_chemical_formula_sum 'Al2 Tl4 Bi2 Se8'
_cell_length_a 6.503
_cell_length_b 9.848
_cell_length_c 8.344
_cell_angle_alpha 90.00
_cell_angle_beta 90.00
_cell_angle_gamma 90.00
_space_group_name_H-M_alt 'P 1'
_space_group_IT_number 1
_space_group_name_Hall 'P 1'
loop_
_atom_site_label
_atom_site_type_symbol
_atom_site_fract_x
_atom_site_fract_y
_atom_site_fract_z
_atom_site_occupancy
Se1 Se 0.417 0.707 0.257 1
Se2 Se 0.417 0.707 0.743 1
Se3 Se 0.917 0.293 0.757 1
Se4 Se 0.880 0.820 0.500 1
Se5 Se 0.914 0.933 0.000 1
Se6 Se 0.917 0.293 0.243 1
Se7 Se 0.380 0.180 0.000 1
Se8 Se 0.414 0.067 0.500 1
Al1 Al 0.508 0.828 0.500 1
Al2 Al 0.008 0.172 0.000 1
Bi1 Bi 0.486 0.898 0.000 1
Bi2 Bi 0.986 0.102 0.500 1
Tl1 Tl 0.940 0.646 0.210 1
Tl2 Tl 0.440 0.354 0.710 1
Tl3 Tl 0.940 0.646 0.790 1
Tl4 Tl 0.440 0.354 0.290 1
# volume	33.40	Å³/atom
# E	-3.800	eV/atom
# E_form (uncorrected)	-0.51	eV per atom

# Ti2SnGe2 | Alexandria via LeMat-Bulk | GGA-PBE | relaxed
data_Ti2SnGe2
_chemical_formula_sum 'Ti2 Sn1 Ge2'
_cell_length_a 3.646
_cell_length_b 3.646
_cell_length_c 7.446
_cell_angle_alpha 75.83
_cell_angle_beta 75.83
_cell_angle_gamma 90.00
_space_group_name_H-M_alt 'P 1'
_space_group_IT_number 1
_space_group_name_Hall 'P 1'
loop_
_atom_site_label
_atom_site_type_symbol
_atom_site_fract_x
_atom_site_fract_y
_atom_site_fract_z
_atom_site_occupancy
Ti1 Ti 0.394 0.394 0.211 1
Ti2 Ti 0.606 0.606 0.789 1
Sn1 Sn 0.000 0.000 0.000 1
Ge1 Ge 0.250 0.750 0.500 1
Ge2 Ge 0.750 0.250 0.500 1
# volume	18.57	Å³/atom
# DOS at the Fermi energy	3.81	states/eV/cell
# E	-6.055	eV/atom
# formation enthalpy at 0 K	-249	meV per atom

# SmEr2Tm | Alexandria via LeMat-Bulk | GGA-PBE | relaxed
data_SmEr2Tm
_chemical_formula_sum 'Sm1 Er2 Tm1'
_cell_length_a 3.556
_cell_length_b 3.556
_cell_length_c 11.584
_cell_angle_alpha 81.17
_cell_angle_beta 81.17
_cell_angle_gamma 60.00
_space_group_name_H-M_alt 'P 1'
_space_group_IT_number 1
_space_group_name_Hall 'P 1'
loop_
_atom_site_label
_atom_site_type_symbol
_atom_site_fract_x
_atom_site_fract_y
_atom_site_fract_z
_atom_site_occupancy
Tm1 Tm 0.666 0.666 0.001 1
Er1 Er 0.251 0.251 0.246 1
Er2 Er 0.082 0.082 0.754 1
Sm1 Sm 0.501 0.501 0.498 1
# volume	31.22	Å³/atom
# DOS at the Fermi energy	5.67	states/eV/cell
# E	-4.561	eV/atom
# formation enthalpy at 0 K	18	meV per atom

# NdIn2Pt9 | Alexandria via LeMat-Bulk | GGA-PBE | relaxed
data_NdIn2Pt9
_chemical_formula_sum 'Nd1 In2 Pt9'
_cell_length_a 5.445
_cell_length_b 5.445
_cell_length_c 9.233
_cell_angle_alpha 72.85
_cell_angle_beta 72.85
_cell_angle_gamma 60.00
_space_group_name_H-M_alt 'P 1'
_space_group_IT_number 1
_space_group_name_Hall 'P 1'
loop_
_atom_site_label
_atom_site_type_symbol
_atom_site_fract_x
_atom_site_fract_y
_atom_site_fract_z
_atom_site_occupancy
Pt1 Pt 0.333 0.333 0.000 1
Pt2 Pt 0.588 0.081 0.744 1
Pt3 Pt 0.500 0.500 0.500 1
Pt4 Pt 0.919 0.412 0.256 1
Pt5 Pt 0.667 0.667 0.000 1
Pt6 Pt 0.081 0.588 0.744 1
Pt7 Pt 0.588 0.588 0.744 1
Pt8 Pt 0.412 0.412 0.256 1
Pt9 Pt 0.412 0.919 0.256 1
Nd1 Nd 0.000 0.000 0.000 1
In1 In 0.141 0.141 0.577 1
In2 In 0.859 0.859 0.423 1
# volume	18.58	Å³/atom
# DOS at the Fermi energy	9.50	states/eV/cell
# E	-5.873	eV/atom
# formation enthalpy at 0 K	-489	meV per atom

# YBeCu2 | Alexandria via LeMat-Bulk | GGA-PBE | relaxed
data_YBeCu2
_chemical_formula_sum 'Y1 Be1 Cu2'
_cell_length_a 3.967
_cell_length_b 3.967
_cell_length_c 5.328
_cell_angle_alpha 68.03
_cell_angle_beta 68.03
_cell_angle_gamma 60.00
_space_group_name_H-M_alt 'P 1'
_space_group_IT_number 1
_space_group_name_Hall 'P 1'
loop_
_atom_site_label
_atom_site_type_symbol
_atom_site_fract_x
_atom_site_fract_y
_atom_site_fract_z
_atom_site_occupancy
Cu1 Cu 0.979 0.979 0.063 1
Cu2 Cu 0.706 0.706 0.883 1
Y1 Y 0.506 0.506 0.481 1
Be1 Be 0.310 0.310 0.072 1
# volume	16.37	Å³/atom
# DOS at the Fermi energy	2.43	states/eV/cell
# E	-4.710	eV/atom
# formation enthalpy at 0 K	-114	meV per atom

# B2SeN2 | Alexandria via LeMat-Bulk | GGA-PBE | relaxed
data_B2SeN2
_chemical_formula_sum 'B4 Se2 N4'
_cell_length_a 10.052
_cell_length_b 10.052
_cell_length_c 2.601
_cell_angle_alpha 90.00
_cell_angle_beta 90.00
_cell_angle_gamma 90.00
_space_group_name_H-M_alt 'P 1'
_space_group_IT_number 1
_space_group_name_Hall 'P 1'
loop_
_atom_site_label
_atom_site_type_symbol
_atom_site_fract_x
_atom_site_fract_y
_atom_site_fract_z
_atom_site_occupancy
N1 N 0.143 0.643 0.000 1
N2 N 0.357 0.143 0.000 1
N3 N 0.643 0.857 0.000 1
N4 N 0.857 0.357 0.000 1
B1 B 0.143 0.643 0.500 1
B2 B 0.643 0.857 0.500 1
B3 B 0.357 0.143 0.500 1
B4 B 0.857 0.357 0.500 1
Se1 Se 0.000 0.000 0.000 1
Se2 Se 0.500 0.500 0.000 1
# volume	26.28	Å³/atom
# DOS at the Fermi energy	2.25	states/eV/cell
# E	-6.934	eV/atom
# E_form (uncorrected)	-0.24	eV per atom

# K4Rb3NaCl8 | Alexandria via LeMat-Bulk | GGA-PBE | relaxed
data_K4Rb3NaCl8
_chemical_formula_sum 'K4 Rb3 Na1 Cl8'
_cell_length_a 9.095
_cell_length_b 9.087
_cell_length_c 9.093
_cell_angle_alpha 120.00
_cell_angle_beta 120.00
_cell_angle_gamma 90.00
_space_group_name_H-M_alt 'P 1'
_space_group_IT_number 1
_space_group_name_Hall 'P 1'
loop_
_atom_site_label
_atom_site_type_symbol
_atom_site_fract_x
_atom_site_fract_y
_atom_site_fract_z
_atom_site_occupancy
Cl1 Cl 0.241 0.749 0.008 1
Cl2 Cl 0.233 0.251 0.992 1
Cl3 Cl 0.758 0.250 0.515 1
Cl4 Cl 0.767 0.749 0.008 1
Cl5 Cl 0.759 0.251 0.992 1
Cl6 Cl 0.242 0.750 0.485 1
Cl7 Cl 0.754 0.763 0.509 1
Cl8 Cl 0.246 0.237 0.491 1
Rb1 Rb 0.500 0.500 0.000 1
Rb2 Rb 0.000 0.500 0.500 1
Rb3 Rb 0.500 0.500 0.500 1
K1 K 0.000 0.000 0.000 1
K2 K 0.500 0.000 0.500 1
K3 K 0.500 0.000 0.000 1
K4 K 0.000 0.000 0.500 1
Na1 Na 0.000 0.500 0.000 1
# volume	33.21	Å³/atom
# DOS at the Fermi energy	0.00	states/eV/cell
# E	-3.373	eV/atom
# E_form (uncorrected)	-1.91	eV per atom

# Sm3Ag | Alexandria via LeMat-Bulk | GGA-PBE | relaxed
data_Sm3Ag
_chemical_formula_sum 'Sm3 Ag1'
_cell_length_a 3.821
_cell_length_b 5.479
_cell_length_c 6.579
_cell_angle_alpha 114.61
_cell_angle_beta 106.88
_cell_angle_gamma 90.00
_space_group_name_H-M_alt 'P 1'
_space_group_IT_number 1
_space_group_name_Hall 'P 1'
loop_
_atom_site_label
_atom_site_type_symbol
_atom_site_fract_x
_atom_site_fract_y
_atom_site_fract_z
_atom_site_occupancy
Ag1 Ag 0.000 0.917 0.000 1
Sm1 Sm 0.281 0.697 0.562 1
Sm2 Sm 0.500 0.417 0.000 1
Sm3 Sm 0.719 0.135 0.438 1
# volume	29.66	Å³/atom
# DOS at the Fermi energy	5.22	states/eV/cell
# E	-4.346	eV/atom
# formation enthalpy at 0 K	-94	meV per atom

# LiSi3W | Alexandria via LeMat-Bulk | GGA-PBE | relaxed
data_LiSi3W
_chemical_formula_sum 'Li1 Si3 W1'
_cell_length_a 4.785
_cell_length_b 4.785
_cell_length_c 4.785
_cell_angle_alpha 90.00
_cell_angle_beta 90.00
_cell_angle_gamma 90.00
_space_group_name_H-M_alt 'P 1'
_space_group_IT_number 1
_space_group_name_Hall 'P 1'
loop_
_atom_site_label
_atom_site_type_symbol
_atom_site_fract_x
_atom_site_fract_y
_atom_site_fract_z
_atom_site_occupancy
Li1 Li 0.500 0.500 0.500 1
Si1 Si 0.000 0.000 0.500 1
Si2 Si 0.000 0.500 0.000 1
Si3 Si 0.500 0.000 0.000 1
W1 W 0.000 0.000 0.000 1
# volume	21.92	Å³/atom
# DOS at the Fermi energy	2.20	states/eV/cell
# E	-5.840	eV/atom
# E_form (uncorrected)	0.39	eV per atom

# La4Te3N2 | Alexandria via LeMat-Bulk | GGA-PBE | relaxed
data_La4Te3N2
_chemical_formula_sum 'La4 Te3 N2'
_cell_length_a 4.320
_cell_length_b 7.563
_cell_length_c 9.870
_cell_angle_alpha 120.13
_cell_angle_beta 90.00
_cell_angle_gamma 106.59
_space_group_name_H-M_alt 'P 1'
_space_group_IT_number 1
_space_group_name_Hall 'P 1'
loop_
_atom_site_label
_atom_site_type_symbol
_atom_site_fract_x
_atom_site_fract_y
_atom_site_fract_z
_atom_site_occupancy
La1 La 0.127 0.254 0.414 1
La2 La 0.691 0.383 0.138 1
La3 La 0.873 0.746 0.586 1
La4 La 0.309 0.617 0.862 1
Te1 Te 0.000 0.000 0.000 1
Te2 Te 0.386 0.771 0.278 1
Te3 Te 0.614 0.229 0.722 1
N1 N 0.306 0.612 0.635 1
N2 N 0.694 0.388 0.365 1
# volume	29.25	Å³/atom
# E	-6.718	eV/atom
# E_form (uncorrected)	-1.63	eV per atom